The following is a PBE calculation of a relaxed structure of CoNi6Ir, from the Open Quantum Materials Database.

**Final energy**: -48.51 eV per cell
**Size of the total moment**: 5.67 μB per formula unit
**Formation energy from the elements**: 0.107 eV per atom

Cell lengths 4.1171, 4.1171, 5.4085 Å; angles 90.00, 90.00, 90.00 degrees
Space group P4/mmm (No. 123)
Inequivalent atoms, fractional coordinates:
Co (0.0000, 0.0000, 0.0000) [1 per cell]
Ni (0.0000, 0.0000, 0.5000) [1 per cell]
Ni (0.0000, 0.5000, 0.2389) [4 per cell]
Ni (0.5000, 0.5000, 0.0000) [1 per cell]
Ir (0.5000, 0.5000, 0.5000) [1 per cell]

The following is a PBE calculation of a relaxed structure of Co2NiIr, from the Open Quantum Materials Database.

**Final energy**: -111.56 eV per cell
**Size of the total moment**: 4.95 μB per formula unit
**Formation energy from the elements**: 0.187 eV per atom

Cell lengths 5.7107, 5.7107, 5.7107 Å; angles 90.00, 90.00, 90.00 degrees
Space group F-43m (No. 216)
Inequivalent atoms, fractional coordinates:
Co (0.0000, 0.0000, 0.0000) [4 per cell]
Co (0.2500, 0.2500, 0.2500) [4 per cell]
Ni (0.0000, 0.0000, 0.5000) [4 per cell]
Ir (0.2500, 0.2500, 0.7500) [4 per cell]

The following is a PBE calculation of a relaxed structure of CoNiIrPb, from the Open Quantum Materials Database.

**Excess energy over the best structure of this formula in the dataset**: 0 meV per atom
**Final energy**: -94.51 eV per cell
**Size of the total moment**: 1.68 μB per formula unit

Cell lengths 6.1805, 6.1805, 6.1805 Å; angles 90.00, 90.00, 90.00 degrees
Space group F-43m (No. 216)
Inequivalent atoms, fractional coordinates:
Co (0.0000, 0.0000, 0.0000) [4 per cell]
Ni (0.0000, 0.0000, 0.5000) [4 per cell]
Ir (0.2500, 0.2500, 0.2500) [4 per cell]
Pb (0.2500, 0.2500, 0.7500) [4 per cell]

The following is a PBE calculation of a relaxed structure of CoSiNiIr, from the Open Quantum Materials Database.

**Excess energy over the best structure of this formula in the dataset**: 0 meV per atom
**Final energy**: -112.55 eV per cell
**Size of the total moment**: 1.43 μB per formula unit

Cell lengths 5.7532, 5.7532, 5.7532 Å; angles 90.00, 90.00, 90.00 degrees
Space group F-43m (No. 216)
Inequivalent atoms, fractional coordinates:
Co (0.0000, 0.0000, 0.0000) [4 per cell]
Si (0.2500, 0.2500, 0.7500) [4 per cell]
Ni (0.2500, 0.2500, 0.2500) [4 per cell]
Ir (0.0000, 0.0000, 0.5000) [4 per cell]

The following is a PBE calculation of a relaxed structure of CoSiNiIr, from the Open Quantum Materials Database.

**Excess energy over the best structure of this formula in the dataset**: 234 meV per atom
**Final energy**: -108.80 eV per cell
**Size of the total moment**: 1.39 μB per formula unit

Cell lengths 5.7853, 5.7853, 5.7853 Å; angles 90.00, 90.00, 90.00 degrees
Space group F-43m (No. 216)
Inequivalent atoms, fractional coordinates:
Co (0.0000, 0.0000, 0.0000) [4 per cell]
Si (0.2500, 0.2500, 0.7500) [4 per cell]
Ni (0.0000, 0.0000, 0.5000) [4 per cell]
Ir (0.2500, 0.2500, 0.2500) [4 per cell]

The following is a PBE calculation of a relaxed structure of CoSi2Ni4Ir, from the Open Quantum Materials Database.

**Final energy**: -51.77 eV per cell
**Size of the total moment**: 0.18 μB per formula unit

Cell lengths 4.0146, 4.0146, 5.6381 Å; angles 90.00, 90.00, 90.00 degrees
Space group P-4m2 (No. 115)
Inequivalent atoms, fractional coordinates:
Co (0.0000, 0.0000, 0.0000) [1 per cell]
Si (0.0000, 0.5000, 0.7644) [2 per cell]
Ni (0.0000, 0.0000, 0.5000) [1 per cell]
Ni (0.0000, 0.5000, 0.2319) [2 per cell]
Ni (0.5000, 0.5000, 0.0000) [1 per cell]
Ir (0.5000, 0.5000, 0.5000) [1 per cell]

The following is a PBE calculation of a relaxed structure of Ta2Zn2CoNiIr2, from the Open Quantum Materials Database.

**Final energy**: -59.63 eV per cell
**Size of the total moment**: 1.15 μB per formula unit
**Formation energy from the elements**: -0.376 eV per atom

Cell lengths 4.3287, 4.3287, 6.1272 Å; angles 90.00, 90.00, 90.00 degrees
Space group P-4m2 (No. 115)
Inequivalent atoms, fractional coordinates:
Ta (0.0000, 0.5000, 0.2495) [2 per cell]
Zn (0.0000, 0.5000, 0.7500) [2 per cell]
Co (0.0000, 0.0000, 0.0000) [1 per cell]
Ni (0.5000, 0.5000, 0.5000) [1 per cell]
Ir (0.0000, 0.0000, 0.5000) [1 per cell]
Ir (0.5000, 0.5000, 0.0000) [1 per cell]

Question: The lowest final energy belongs to which entry?
Answer: number 4

Question: The lowest size of the total moment belongs to which entry?
Answer: CoSi2Ni4Ir

Question: size of the total moment of number 1 (CoNi6Ir)?
Answer: 5.67 μB per formula unit

Question: What is the final energy in the first record?
Answer: -48.51 eV per cell